Entry 1:
## Cd2AsPt (GGA-PBE)

Data for a relaxed structure of Cd2AsPt.

Geometry as CIF:
```
data_Cd2AsPt
_symmetry_space_group_name_H-M 'C 1 2/m 1'
_symmetry_Int_Tables_number 12
_cell_length_a 9.560
_cell_length_b 3.004
_cell_length_c 5.411
_cell_angle_alpha 90.00
_cell_angle_beta 99.01
_cell_angle_gamma 90.00
loop_
_symmetry_equiv_pos_as_xyz
'x,y,z'
'-x,-y,-z'
'-x,y,-z'
'x,-y,z'
'x+1/2,y+1/2,z'
'-x+1/2,-y+1/2,-z'
'-x+1/2,y+1/2,-z'
'x+1/2,-y+1/2,z'
loop_
_atom_site_label
_atom_site_type_symbol
_atom_site_fract_x
_atom_site_fract_y
_atom_site_fract_z
Cd1 Cd 0.243 0.000 0.237
As1 As 0.000 0.000 0.500
Pt1 Pt 0.000 0.500 0.000
```

Computed properties:
V (Å³/f.u.): 76.7
D(E_F) (states/eV/cell): 3.2
Energy of formation from the pure elements (meV per atom): 17



Entry 2:
## CuAu3F (GGA-PBE)

Data for a relaxed structure of CuAu3F.

Geometry as CIF:
```
data_CuAu3F
_symmetry_space_group_name_H-M 'P m -3 m'
_symmetry_Int_Tables_number 221
_symmetry_space_group_name_Hall '-P 4 2 3'
_cell_length_a 4.564
_cell_length_b 4.564
_cell_length_c 4.564
_cell_angle_alpha 90.00
_cell_angle_beta 90.00
_cell_angle_gamma 90.00
loop_
_atom_site_label
_atom_site_type_symbol
_atom_site_fract_x
_atom_site_fract_y
_atom_site_fract_z
Cu1 Cu 0.000 0.000 0.000
Au1 Au 0.000 0.500 0.500
F1 F 0.500 0.500 0.500
```

Computed properties:
V (Å³/f.u.): 95.1
D(E_F) (states/eV/cell): 2.8
Excess energy over the best structure of this formula in the dataset (eV/atom): 0.037



Entry 3:
## Pr3YIn2 (GGA-PBE)

Data for a relaxed structure of Pr3YIn2.

Geometry as CIF:
```
data_Pr3YIn2
_symmetry_space_group_name_H-M 'C 1 2/m 1'
_symmetry_Int_Tables_number 12
_cell_length_a 16.464
_cell_length_b 5.054
_cell_length_c 10.406
_cell_angle_alpha 90.00
_cell_angle_beta 118.66
_cell_angle_gamma 90.00
loop_
_symmetry_equiv_pos_as_xyz
'x,y,z'
'-x,-y,-z'
'-x,y,-z'
'x,-y,z'
'x+1/2,y+1/2,z'
'-x+1/2,-y+1/2,-z'
'-x+1/2,y+1/2,-z'
'x+1/2,-y+1/2,z'
loop_
_atom_site_label
_atom_site_type_symbol
_atom_site_fract_x
_atom_site_fract_y
_atom_site_fract_z
Pr1 Pr 0.040 0.000 0.359
Pr2 Pr 0.134 0.500 0.680
Pr3 Pr 0.211 0.500 0.375
Y1 Y 0.118 0.000 0.070
In1 In 0.013 0.500 0.868
In2 In 0.250 0.000 0.913
```

Computed properties:
V (Å³/f.u.): 189.9
D(E_F) (states/eV/cell): 24.2
Excess energy over the best structure of this formula in the dataset (eV/atom): 0.087
Energy of formation from the pure elements (meV per atom): -269



Entry 4:
## NiHgTe2 (GGA-PBE)

Data for a relaxed structure of NiHgTe2.

Geometry as CIF:
```
data_NiHgTe2
_symmetry_space_group_name_H-M 'P 4/m m m'
_symmetry_Int_Tables_number 123
_symmetry_space_group_name_Hall '-P 4 2'
_cell_length_a 3.255
_cell_length_b 3.255
_cell_length_c 9.308
_cell_angle_alpha 90.00
_cell_angle_beta 90.00
_cell_angle_gamma 90.00
loop_
_atom_site_label
_atom_site_type_symbol
_atom_site_fract_x
_atom_site_fract_y
_atom_site_fract_z
Ni1 Ni 0.000 0.000 0.000
Hg1 Hg 0.000 0.000 0.500
Te1 Te 0.500 0.500 0.175
```

Computed properties:
V (Å³/f.u.): 98.6
D(E_F) (states/eV/cell): 3.8
Calculated total energy (eV/cell): -11.7